(1)
The following is a DFT calculation (PBE) of crystalline Sr2OsBr at its relaxed geometry.

Cell lengths 10.3524, 10.3524, 10.3524 Å; angles 22.73, 22.73, 22.73 degrees
Last column: nearest neighbours and their distance in Å.
Fractional positions:
1 Br 0.4982 0.4982 0.4982  3 Sr 3.05, 3 Os 3.34
2 Sr 0.2291 0.2291 0.2291  3 Br 3.05
3 Sr 0.0195 0.0195 0.0195  3 Os 3.11
4 Os 0.7532 0.7532 0.7532  3 Sr 3.11, 3 Br 3.34

Values from the calculation:
The space-group type is R3m. As for the energy above the lowest structure with this stoichiometry: 333 kJ/mol of formula units. The calculation puts the formation energy without anion corrections at 606 meV/atom. For the total energy, the calculation gives -0.127 Ha/atom.

(2)
The following is a DFT calculation (PBE) of crystalline Ac4SmZn5 at its relaxed geometry.

Cell lengths 3.8631, 3.8631, 19.2219 Å; angles 90.00, 90.00, 90.00 degrees
Last column: nearest neighbours and their distance in Å.
Fractional positions:
1 Ac 0.0000 0.0000 0.3977  8 Zn 3.37
2 Ac 0.0000 0.0000 0.8086  8 Zn 3.38-3.43, 1 Sm 3.68
3 Ac 0.0000 0.0000 0.1914  8 Zn 3.38-3.43, 1 Sm 3.68
4 Ac 0.0000 0.0000 0.6023  8 Zn 3.37
5 Zn 0.5000 0.5000 0.7047  8 Ac 3.37-3.38
6 Zn 0.5000 0.5000 0.0837  4 Sm 3.17, 1 Zn 3.22, 4 Ac 3.43
7 Zn 0.5000 0.5000 0.5000  8 Ac 3.37
8 Zn 0.5000 0.5000 0.9163  4 Sm 3.17, 1 Zn 3.22, 4 Ac 3.43
9 Zn 0.5000 0.5000 0.2953  8 Ac 3.37-3.38
10 Sm 0.0000 0.0000 0.0000  8 Zn 3.17

Values from the calculation:
The space-group type is P4/mmm. For the total energy, the calculation gives -0.110 Ha/atom. The formation energy comes out at -0.25 eV/atom.

(3)
The following is a DFT calculation (PBE) of crystalline Sr4CdTc at its relaxed geometry.

Cell lengths 6.9279, 6.9279, 6.9279 Å; angles 60.00, 60.00, 60.00 degrees
Last column: nearest neighbours and their distance in Å.
Fractional positions:
1 Sr 0.3758 0.8726 0.3758  6 Sr 3.44-3.49
2 Sr 0.3758 0.3758 0.3758  6 Sr 3.44-3.49
3 Sr 0.8726 0.3758 0.3758  6 Sr 3.44-3.49
4 Sr 0.3758 0.3758 0.8726  6 Sr 3.44-3.49
5 Tc 0.7500 0.7500 0.7500  12 Sr 4.06, 4 Cd 4.24
6 Cd 0.0000 0.0000 0.0000  12 Sr 4.06, 4 Tc 4.24

Values from the calculation:
The space-group type is F-43m. For the total energy, the calculation gives -0.072 Ha/atom. The formation energy comes out at 1.03 eV/atom.